Material: AgRhSe2O8
Method: DFT, GGA-PBE
State: optimized geometry

```
12
Lattice="-4.3962 -2.1220 0.6187 -0.2891 -4.6182 1.6737 -1.8244 0.4677 8.2086" Properties=species:S:1:pos:R:3 pbc="T T T"
Ag -3.2549 -3.1363 5.2505
O -4.8346 -5.1980 6.5220
O -3.0709 -2.4961 2.1270
O -4.6584 -4.7932 2.9085
O -1.7650 -4.9131 3.0543
O -4.7447 -1.3594 7.4466
O -3.4388 -3.7764 8.3740
O -1.6752 -1.0746 3.9789
O -1.8513 -1.4794 7.5924
Rh 0.0000 0.0000 0.0000
Se -4.8894 -4.6313 8.0761
Se -1.6204 -1.6412 2.4248
```

Output
Uncorrected formation energy, eV per atom: -0.4848
E, eV/atom: -5.221
Total moment, μB per atom: 0.0000
Theoretical density, Mg/m³: 4.96
Space group: R-3 (148)